An optimized crystal structure of Ac7Ga2Rh2. Source: the Alexandria database, functional PBE.

```
Ac7Ga2Rh2
1.0
4.208 -6.082 0.000
4.208 6.082 0.000
0.000 0.000 7.515
Ac Ga Rh
7 2 2
direct
0.000 0.000 0.000
0.000 0.500 0.259
0.000 0.500 0.741
0.500 0.000 0.259
0.500 0.000 0.741
0.500 0.500 0.258
0.500 0.500 0.742
0.155 0.155 0.500
0.845 0.845 0.500
0.300 0.700 0.000
0.700 0.300 0.000
```

The energy relative to the lowest polymorph listed for this composition comes out at 54 meV per atom. As for the space group: Cmmm.



An optimized crystal structure of Ac4Ga5Rh3. Source: the Alexandria database, functional PBE.

```
Ac4Ga5Rh3
1.0
7.577 -2.323 0.000
7.577 2.323 0.000
-4.082 0.000 9.034
Ac Ga Rh
4 5 3
direct
0.042 0.042 0.305
0.245 0.245 0.828
0.755 0.755 0.172
0.958 0.958 0.695
0.292 0.292 0.521
0.411 0.411 0.400
0.500 0.500 0.000
0.589 0.589 0.600
0.708 0.708 0.479
0.000 0.000 0.000
0.393 0.393 0.139
0.607 0.607 0.861
```

As for the space group: C2/m.



An optimized crystal structure of AcGa3Rh3. Source: the Alexandria database, functional PBE.

```
AcGa3Rh3
1.0
3.372 1.947 6.734
-3.372 1.947 6.734
0.000 -3.893 6.734
Ac Ga Rh
2 6 6
direct
0.161 0.161 0.161
0.839 0.839 0.839
0.050 0.240 0.599
0.240 0.599 0.050
0.401 0.950 0.760
0.599 0.050 0.240
0.760 0.401 0.950
0.950 0.760 0.401
0.185 0.416 0.665
0.335 0.815 0.584
0.416 0.665 0.185
0.584 0.335 0.815
0.665 0.185 0.416
0.815 0.584 0.335
```

The energy relative to the lowest polymorph listed for this composition comes out at 0 meV per atom. As for the space group: R-3.



An optimized crystal structure of Ac3GaRh. Source: the Alexandria database, functional PBE.

```
Ac3GaRh
1.0
7.647 0.000 0.000
0.000 5.516 0.000
-0.581 0.000 7.988
Ac Ga Rh
6 2 2
direct
0.000 0.000 0.000
0.081 0.500 0.345
0.310 0.000 0.637
0.452 0.000 0.170
0.596 0.500 0.864
0.804 0.000 0.531
0.084 0.500 0.755
0.527 0.500 0.398
0.253 0.500 0.049
0.644 0.000 0.846
```

The energy relative to the lowest polymorph listed for this composition comes out at 65 meV per atom. As for the space group: Pm.



An optimized crystal structure of Ac3Ga2Rh5. Source: the Alexandria database, functional PBE.

```
Ac3Ga2Rh5
1.0
10.611 0.000 0.000
0.000 10.611 0.000
0.000 0.000 3.752
Ac Ga Rh
6 4 10
direct
0.000 0.000 0.000
0.176 0.324 0.000
0.324 0.824 0.000
0.500 0.500 0.000
0.676 0.176 0.000
0.824 0.676 0.000
0.117 0.617 0.000
0.383 0.117 0.000
0.617 0.883 0.000
0.883 0.383 0.000
0.000 0.500 0.500
0.070 0.774 0.500
0.226 0.070 0.500
0.274 0.570 0.500
0.430 0.274 0.500
0.500 0.000 0.500
0.570 0.726 0.500
0.726 0.430 0.500
0.774 0.930 0.500
0.930 0.226 0.500
```

As for the space group: P4/mbm.



An optimized crystal structure of Ac2GaRh2. Source: the Alexandria database, functional PBE.

```
Ac2GaRh2
1.0
5.271 -2.960 0.000
5.271 2.960 0.000
-1.984 0.000 7.712
Ac Ga Rh
4 2 4
direct
0.005 0.290 0.150
0.290 0.005 0.650
0.710 0.995 0.350
0.995 0.710 0.850
0.376 0.624 0.250
0.624 0.376 0.750
0.238 0.504 0.492
0.496 0.762 0.008
0.504 0.238 0.992
0.762 0.496 0.508
```

The energy relative to the lowest polymorph listed for this composition comes out at 0 meV per atom. As for the space group: C2/c.



An optimized crystal structure of AcGa12Rh4. Source: the Alexandria database, functional PBE.

```
AcGa12Rh4
1.0
-4.425 4.425 4.425
4.425 -4.425 4.425
4.425 4.425 -4.425
Ac Ga Rh
1 12 4
direct
0.000 0.000 0.000
0.165 0.344 0.509
0.165 0.656 0.820
0.180 0.835 0.344
0.344 0.180 0.835
0.344 0.509 0.165
0.491 0.835 0.656
0.509 0.165 0.344
0.656 0.491 0.835
0.656 0.820 0.165
0.820 0.165 0.656
0.835 0.344 0.180
0.835 0.656 0.491
0.000 0.000 0.500
0.000 0.500 0.000
0.500 0.000 0.000
0.500 0.500 0.500
```

As for the space group: Im-3.



An optimized crystal structure of Ac3Ga9Rh2. Source: the Alexandria database, functional PBE.

```
Ac3Ga9Rh2
1.0
-2.246 5.003 6.532
2.246 -5.003 6.532
2.246 5.003 -6.532
Ac Ga Rh
3 9 2
direct
0.000 0.000 0.000
0.307 0.307 0.000
0.693 0.693 0.000
0.017 0.660 0.357
0.151 0.872 0.279
0.302 0.660 0.643
0.408 0.128 0.279
0.500 0.000 0.500
0.592 0.872 0.721
0.698 0.340 0.357
0.849 0.128 0.721
0.983 0.340 0.643
0.300 0.500 0.800
0.700 0.500 0.200
```

As for the space group: Immm.



An optimized crystal structure of Ac5GaRh2. Source: the Alexandria database, functional PBE.

```
Ac5GaRh2
1.0
-4.172 4.172 7.246
4.172 -4.172 7.246
4.172 4.172 -7.246
Ac Ga Rh
10 2 4
direct
0.000 0.000 0.000
0.025 0.525 0.826
0.200 0.025 0.500
0.300 0.800 0.826
0.475 0.300 0.500
0.500 0.500 0.000
0.525 0.700 0.500
0.700 0.200 0.174
0.800 0.975 0.500
0.975 0.475 0.174
0.250 0.250 0.000
0.750 0.750 0.000
0.137 0.363 0.500
0.363 0.863 0.226
0.637 0.137 0.774
0.863 0.637 0.500
```

As for the space group: I4/mcm.



An optimized crystal structure of Ac3Ga4Rh2. Source: the Alexandria database, functional PBE.

```
Ac3Ga4Rh2
1.0
5.587 -2.328 0.000
5.587 2.328 0.000
-1.927 0.000 8.460
Ac Ga Rh
3 4 2
direct
0.000 0.000 0.000
0.386 0.386 0.302
0.614 0.614 0.698
0.112 0.112 0.409
0.282 0.282 0.916
0.718 0.718 0.084
0.888 0.888 0.591
0.308 0.308 0.631
0.692 0.692 0.369
```

The energy relative to the lowest polymorph listed for this composition comes out at 27 meV per atom. As for the space group: C2/m.



An optimized crystal structure of AcGaRh4. Source: the Alexandria database, functional PBE.

```
AcGaRh4
1.0
0.000 3.809 3.809
3.809 0.000 3.809
3.809 3.809 0.000
Ac Ga Rh
1 1 4
direct
0.000 0.000 0.000
0.750 0.750 0.750
0.376 0.376 0.376
0.376 0.376 0.871
0.376 0.871 0.376
0.871 0.376 0.376
```

The energy relative to the lowest polymorph listed for this composition comes out at 99 meV per atom. As for the space group: F-43m.



An optimized crystal structure of AcGa4Rh. Source: the Alexandria database, functional PBE.

```
AcGa4Rh
1.0
7.824 0.000 0.000
0.000 4.244 0.000
0.000 0.000 7.365
Ac Ga Rh
2 8 2
direct
0.250 0.000 0.118
0.750 0.000 0.882
0.000 0.000 0.500
0.064 0.500 0.793
0.250 0.500 0.453
0.436 0.500 0.793
0.500 0.000 0.500
0.564 0.500 0.207
0.750 0.500 0.547
0.936 0.500 0.207
0.250 0.000 0.689
0.750 0.000 0.311
```

As for the space group: Pmma.



An optimized crystal structure of AcGaRh2. Source: the Alexandria database, functional PBE.

```
AcGaRh2
1.0
3.303 0.000 0.000
0.000 3.303 0.000
0.000 0.000 7.055
Ac Ga Rh
1 1 2
direct
0.000 0.000 0.000
0.000 0.000 0.500
0.500 0.500 0.305
0.500 0.500 0.695
```

As for the space group: P4/mmm.



An optimized crystal structure of Ac3Ga3Rh2. Source: the Alexandria database, functional PBE.

```
Ac3Ga3Rh2
1.0
2.134 -5.754 0.000
2.134 5.754 0.000
0.000 0.000 16.319
Ac Ga Rh
6 6 4
direct
0.058 0.942 0.606
0.058 0.942 0.894
0.336 0.664 0.750
0.664 0.336 0.250
0.942 0.058 0.106
0.942 0.058 0.394
0.332 0.668 0.533
0.332 0.668 0.967
0.370 0.630 0.250
0.630 0.370 0.750
0.668 0.332 0.033
0.668 0.332 0.467
0.229 0.771 0.114
0.229 0.771 0.386
0.771 0.229 0.614
0.771 0.229 0.886
```

As for the space group: Cmcm.



An optimized crystal structure of Ac3GaRh. Source: the Alexandria database, functional PBE.

```
Ac3GaRh
1.0
13.801 0.000 0.000
0.000 4.205 0.000
0.000 0.000 11.706
Ac Ga Rh
12 4 4
direct
0.040 0.250 0.158
0.115 0.750 0.528
0.213 0.250 0.787
0.287 0.750 0.287
0.385 0.250 0.028
0.460 0.750 0.658
0.540 0.250 0.342
0.615 0.750 0.972
0.713 0.250 0.713
0.787 0.750 0.213
0.885 0.250 0.472
0.960 0.750 0.842
0.182 0.750 0.005
0.318 0.250 0.505
0.682 0.750 0.495
0.818 0.250 0.995
0.021 0.250 0.676
0.479 0.750 0.176
0.521 0.250 0.824
0.979 0.750 0.324
```

The energy relative to the lowest polymorph listed for this composition comes out at 0 meV per atom. As for the space group: Pnma.



An optimized crystal structure of Ac4GaRh3. Source: the Alexandria database, functional PBE.

```
Ac4GaRh3
1.0
4.202 0.000 0.000
0.000 4.484 0.000
0.000 0.000 11.702
Ac Ga Rh
4 1 3
direct
0.000 0.000 0.000
0.000 0.500 0.259
0.500 0.000 0.479
0.500 0.500 0.771
0.000 0.000 0.689
0.000 0.500 0.569
0.500 0.000 0.218
0.500 0.500 0.037
```

As for the space group: Pmm2.



An optimized crystal structure of AcGa2Rh6. Source: the Alexandria database, functional PBE.

```
AcGa2Rh6
1.0
0.000 5.612 5.612
5.612 0.000 5.612
5.612 5.612 0.000
Ac Ga Rh
2 4 12
direct
0.125 0.125 0.125
0.875 0.875 0.875
0.000 0.500 0.500
0.500 0.000 0.500
0.500 0.500 0.000
0.500 0.500 0.500
0.121 0.121 0.629
0.121 0.629 0.121
0.121 0.629 0.629
0.371 0.371 0.879
0.371 0.879 0.371
0.371 0.879 0.879
0.629 0.121 0.121
0.629 0.121 0.629
0.629 0.629 0.121
0.879 0.371 0.371
0.879 0.371 0.879
0.879 0.879 0.371
```

As for the space group: Fd-3m.



An optimized crystal structure of Ac2GaRh2. Source: the Alexandria database, functional PBE.

```
Ac2GaRh2
1.0
-3.478 5.817 3.216
3.478 -5.817 3.216
3.478 5.817 -3.216
Ac Ga Rh
4 2 4
direct
0.146 0.170 0.315
0.354 0.670 0.024
0.646 0.330 0.976
0.854 0.830 0.685
0.250 0.750 0.500
0.750 0.250 0.500
0.107 0.723 0.830
0.393 0.223 0.615
0.607 0.777 0.385
0.893 0.277 0.170
```

The energy relative to the lowest polymorph listed for this composition comes out at 85 meV per atom. As for the space group: Ibam.



An optimized crystal structure of AcGa9Rh2. Source: the Alexandria database, functional PBE.

```
AcGa9Rh2
1.0
8.229 0.000 0.000
-4.114 7.126 0.000
0.000 0.000 3.909
Ac Ga Rh
1 9 2
direct
0.000 0.000 0.000
0.000 0.500 0.000
0.203 0.406 0.500
0.203 0.797 0.500
0.406 0.203 0.500
0.500 0.000 0.000
0.500 0.500 0.000
0.594 0.797 0.500
0.797 0.203 0.500
0.797 0.594 0.500
0.333 0.667 0.000
0.667 0.333 0.000
```

As for the space group: P6/mmm.



An optimized crystal structure of Ac3GaRh3. Source: the Alexandria database, functional PBE.

```
Ac3GaRh3
1.0
2.110 -5.652 0.000
2.110 5.652 0.000
0.000 0.000 14.654
Ac Ga Rh
6 2 6
direct
0.020 0.980 0.750
0.292 0.708 0.606
0.292 0.708 0.894
0.708 0.292 0.106
0.708 0.292 0.394
0.980 0.020 0.250
0.000 0.000 0.000
0.000 0.000 0.500
0.263 0.737 0.250
0.428 0.572 0.085
0.428 0.572 0.415
0.572 0.428 0.585
0.572 0.428 0.915
0.737 0.263 0.750
```

The energy relative to the lowest polymorph listed for this composition comes out at 0 meV per atom. As for the space group: Cmcm.



For the records above, the corresponding total moment values read 0.000, 0.000, 0.000, 0.000, 0.000, 0.000, 0.000, 0.000, 0.001, 0.000, 0.000, 0.000, 0.000, 0.000, 0.000, 0.000, 3.114, 0.000, 0.000, 0.000 μB/cell.
For the records above, the corresponding calculated formation energy values read -0.355, -0.533, -0.496, -0.388, -0.670, -0.730, -0.258, -0.580, -0.499, -0.656, -0.293, -0.590, -0.423, -0.680, -0.453, -0.629, 0.086, -0.645, -0.428, -0.700 eV per atom.